## ScCu2Re (PBE-GGA)

Data for a relaxed structure of ScCu2Re.

Cell and atoms, written as POSCAR:
```
ScCu2Re
1.0
2.774 0.000 0.000
0.000 2.774 0.000
0.000 0.000 7.681
Sc Cu Re
1 2 1
Cartesian
0.000 0.000 0.000 Sc
1.387 1.387 2.024 Cu
1.387 1.387 5.658 Cu
0.000 0.000 3.841 Re
```

Calculated values
As for the energy of formation from the pure elements: 0.21 eV/atom. The calculation puts the relative energy among the computed polymorphs at 0.118 eV/atom. As for the calculated density: 10.06 g cm⁻³.